Entry 1:
NdZn8Ni4 | PBE | relaxed

Results
Formation energy: -0.278 eV/atom

Structure (CIF):
```
data_NdZn8Ni4
_chemical_formula_sum 'Nd2 Zn16 Ni8'
_symmetry_space_group_name_H-M 'I 4/m m m'
_symmetry_Int_Tables_number 139
_symmetry_space_group_name_Hall '-I 4 2'
_cell_length_a 8.648
_cell_length_b 8.648
_cell_length_c 5.075
_cell_angle_alpha 90.00
_cell_angle_beta 90.00
_cell_angle_gamma 90.00
loop_
_atom_site_label
_atom_site_type_symbol
_atom_site_fract_x
_atom_site_fract_y
_atom_site_fract_z
Nd1 Nd 0.000 0.000 0.000
Zn1 Zn 0.000 0.225 0.500
Zn2 Zn 0.000 0.344 0.000
Ni1 Ni 0.250 0.250 0.250
```

Entry 2:
Nd2Zn3Ni2 | PBE | relaxed

Results
Formation energy: -0.377 eV/atom
Offset from the most stable computed form: 0.0000 eV/atom

Structure (CIF):
```
data_Nd2Zn3Ni2
_chemical_formula_sum 'Nd4 Zn6 Ni4'
_symmetry_space_group_name_H-M 'C 1 2/m 1'
_symmetry_Int_Tables_number 12
_cell_length_a 9.880
_cell_length_b 4.088
_cell_length_c 7.148
_cell_angle_alpha 90.00
_cell_angle_beta 114.98
_cell_angle_gamma 90.00
loop_
_symmetry_equiv_pos_as_xyz
'x,y,z'
'-x,-y,-z'
'-x,y,-z'
'x,-y,z'
'x+1/2,y+1/2,z'
'-x+1/2,-y+1/2,-z'
'-x+1/2,y+1/2,-z'
'x+1/2,-y+1/2,z'
loop_
_atom_site_label
_atom_site_type_symbol
_atom_site_fract_x
_atom_site_fract_y
_atom_site_fract_z
Nd1 Nd 0.141 0.000 0.267
Zn1 Zn 0.000 0.500 0.500
Zn2 Zn 0.142 0.500 0.938
Ni1 Ni 0.131 0.000 0.695
```

Entry 3:
Nd3Zn3Ni8 | PBE | relaxed

Results
Formation energy: -0.282 eV/atom

Structure (CIF):
```
data_Nd3Zn3Ni8
_chemical_formula_sum 'Nd6 Zn6 Ni16'
_symmetry_space_group_name_H-M 'I m m m'
_symmetry_Int_Tables_number 71
_symmetry_space_group_name_Hall '-I 2 2'
_cell_length_a 4.093
_cell_length_b 9.127
_cell_length_c 12.369
_cell_angle_alpha 90.00
_cell_angle_beta 90.00
_cell_angle_gamma 90.00
loop_
_atom_site_label
_atom_site_type_symbol
_atom_site_fract_x
_atom_site_fract_y
_atom_site_fract_z
Nd1 Nd 0.000 0.000 0.000
Nd2 Nd 0.000 0.000 0.296
Zn1 Zn 0.000 0.229 0.500
Zn2 Zn 0.000 0.500 0.000
Ni1 Ni 0.000 0.276 0.109
Ni2 Ni 0.000 0.310 0.304
```

Entry 4:
Nd4ZnNi | PBE | relaxed

Results
Formation energy: -0.206 eV/atom
Offset from the most stable computed form: 0.0000 eV/atom

Structure (CIF):
```
data_Nd4ZnNi
_chemical_formula_sum 'Nd64 Zn16 Ni16'
_symmetry_space_group_name_H-M 'F -4 3 m'
_symmetry_Int_Tables_number 216
_symmetry_space_group_name_Hall 'F -4 2 3'
_cell_length_a 13.750
_cell_length_b 13.750
_cell_length_c 13.750
_cell_angle_alpha 90.00
_cell_angle_beta 90.00
_cell_angle_gamma 90.00
loop_
_atom_site_label
_atom_site_type_symbol
_atom_site_fract_x
_atom_site_fract_y
_atom_site_fract_z
Nd1 Nd 0.000 0.000 0.187
Nd2 Nd 0.056 0.250 0.750
Nd3 Nd 0.101 0.101 0.399
Zn1 Zn 0.172 0.172 0.172
Ni1 Ni 0.107 0.107 0.607
```

Entry 5:
Nd3ZnNi4 | PBE | relaxed

Results
Formation energy: -0.229 eV/atom

Structure (CIF):
```
data_Nd3ZnNi4
_chemical_formula_sum 'Nd6 Zn2 Ni8'
_symmetry_space_group_name_H-M 'I m m m'
_symmetry_Int_Tables_number 71
_symmetry_space_group_name_Hall '-I 2 2'
_cell_length_a 4.176
_cell_length_b 5.240
_cell_length_c 15.374
_cell_angle_alpha 90.00
_cell_angle_beta 90.00
_cell_angle_gamma 90.00
loop_
_atom_site_label
_atom_site_type_symbol
_atom_site_fract_x
_atom_site_fract_y
_atom_site_fract_z
Nd1 Nd 0.000 0.000 0.000
Nd2 Nd 0.000 0.500 0.194
Zn1 Zn 0.000 0.000 0.500
Ni1 Ni 0.000 0.280 0.378
```

Entry 6:
NdZn12Ni7 | PBE | relaxed

Results
Formation energy: 0.126 eV/atom

Structure (CIF):
```
data_NdZn12Ni7
_chemical_formula_sum 'Nd2 Zn24 Ni14'
_symmetry_space_group_name_H-M 'I m -3'
_symmetry_Int_Tables_number 204
_symmetry_space_group_name_Hall '-I 2 2 3'
_cell_length_a 8.745
_cell_length_b 8.745
_cell_length_c 8.745
_cell_angle_alpha 90.00
_cell_angle_beta 90.00
_cell_angle_gamma 90.00
loop_
_atom_site_label
_atom_site_type_symbol
_atom_site_fract_x
_atom_site_fract_y
_atom_site_fract_z
Nd1 Nd 0.000 0.000 0.000
Zn1 Zn 0.000 0.239 0.346
Ni1 Ni 0.000 0.000 0.500
Ni2 Ni 0.250 0.250 0.250
```

Question: Among the records above, which one has the lowest formation energy?
Answer: Nd2Zn3Ni2

Question: formation energy of number 5 (Nd3ZnNi4)?
Answer: -0.229 eV/atom

Question: Among the records above, which one has the highest formation energy?
Answer: NdZn12Ni7

Question: Among the records above, which one has the lowest formation energy?
Answer: Nd2Zn3Ni2